A plane-wave DFT calculation with PBE-GGA was carried out for a geometry-optimized RbGaPb structure.

a b c (Å): 4.603 6.370 7.921
angles (deg): 90.00 90.00 90.00
Space group Pmm2 (No. 25)
One atom of each set of equivalent atoms:
Rb: 0.000 0.000 0.000 [1 per cell]
Rb: 0.500 0.500 0.283 [1 per cell]
Ga: 0.500 0.201 0.697 [2 per cell]
Pb: 0.000 0.000 0.478 [1 per cell]
Pb: 0.000 0.500 0.700 [1 per cell]

Results
- density (g cm⁻³) = 5.2
- Fermi-level density of states (states/eV per atom) = 0.526
- formation energy from the elements (eV/atom) = -0.0369
- energy (eV/atom) = -2.605